YHoOsPt after structural relaxation. Source: Alexandria via LeMat-Bulk, functional PBE.

Lattice parameters (Å, degrees): 6.881 6.881 6.881 90.00 90.00 90.00
Space group F-43m (No. 216)
Asymmetric unit:
Y (0.000, 0.000, 0.000)
Ho (0.000, 0.000, 0.500)
Os (0.250, 0.250, 0.250)
Pt (0.250, 0.250, 0.750)

Computed properties:
Theoretical density   13.03 Mg/m³
Total DFT energy (no corrections)   -7.7341 eV per atom


HoZrOsPt after structural relaxation. Source: Alexandria via LeMat-Bulk, functional PBE.

Lattice parameters (Å, degrees): 6.749 6.749 6.749 90.00 90.00 90.00
Space group F-43m (No. 216)
Asymmetric unit:
Ho (0.000, 0.000, 0.000)
Zr (0.000, 0.000, 0.500)
Os (0.250, 0.250, 0.250)
Pt (0.250, 0.250, 0.750)

Computed properties:
Theoretical density   13.86 Mg/m³
Total DFT energy (no corrections)   -8.2651 eV per atom


Ho2PuOs after structural relaxation. Source: Alexandria via LeMat-Bulk, functional PBE.

Lattice parameters (Å, degrees): 3.378 3.378 8.842 90.00 90.00 90.00
Space group P4/mmm (No. 123)
Asymmetric unit:
Ho (0.000, 0.000, 0.188)
Pu (0.500, 0.500, 0.500)
Os (0.500, 0.500, 0.000)

Computed properties:
Theoretical density   12.57 Mg/m³
Total DFT energy (no corrections)   -8.7403 eV per atom


Ho2PuOs after structural relaxation. Source: Alexandria via LeMat-Bulk, functional PBE.

Lattice parameters (Å, degrees): 3.3308 3.3308 32.4624 90.00 90.00 120.00
Space group R-3m (No. 166, hexagonal axes)
Asymmetric unit:
Ho (0.0000, 0.0000, 0.1029)
Pu (0.0000, 0.0000, 0.0000)
Os (0.0000, 0.0000, 0.5000)

Computed properties:
Theoretical density   12.20 Mg/m³
Total DFT energy (no corrections)   -8.3453 eV per atom


HoPu2Os after structural relaxation. Source: Alexandria via LeMat-Bulk, functional PBE.

Lattice parameters (Å, degrees): 3.460 3.460 8.089 90.00 90.00 90.00
Space group P4/mmm (No. 123)
Asymmetric unit:
Ho (0.000, 0.000, 0.000)
Pu (0.500, 0.500, 0.302)
Os (0.000, 0.000, 0.500)

Computed properties:
Theoretical density   14.46 Mg/m³
Total DFT energy (no corrections)   -11.0234 eV per atom


HoPuOs after structural relaxation. Source: Alexandria via LeMat-Bulk, functional PBE.

Lattice parameters (Å, degrees): 3.607 12.444 25.756 90.00 90.00 90.00
Space group Fddd (No. 70, origin choice 2)
Asymmetric unit:
Ho (0.125, 0.253, 0.125)
Pu (0.125, 0.125, 0.264)
Os (0.125, 0.125, 0.561)

Computed properties:
Theoretical density   13.77 Mg/m³
Total DFT energy (no corrections)   -9.9342 eV per atom


HoPuOs after structural relaxation. Source: Alexandria via LeMat-Bulk, functional PBE.

Lattice parameters (Å, degrees): 6.703 6.703 6.703 90.00 90.00 90.00
Space group F-43m (No. 216)
Asymmetric unit:
Ho (0.000, 0.000, 0.000)
Pu (0.000, 0.000, 0.500)
Os (0.250, 0.250, 0.250)

Computed properties:
Theoretical density   13.21 Mg/m³
Total DFT energy (no corrections)   -10.0548 eV per atom


HoPu2Os after structural relaxation. Source: Alexandria via LeMat-Bulk, functional PBE.

Lattice parameters (Å, degrees): 3.2766 3.2766 32.1195 90.00 90.00 120.00
Space group R-3m (No. 166, hexagonal axes)
Asymmetric unit:
Ho (0.0000, 0.0000, 0.0000)
Pu (0.0000, 0.0000, 0.1005)
Os (0.0000, 0.0000, 0.5000)

Computed properties:
Theoretical density   14.06 Mg/m³
Total DFT energy (no corrections)   -10.7180 eV per atom


HoPuOs after structural relaxation. Source: Alexandria via LeMat-Bulk, functional PBE.

Lattice parameters (Å, degrees): 3.310 3.310 12.970 90.00 90.00 90.00
Space group I4mm (No. 107)
Asymmetric unit:
Ho (0.000, 0.000, 0.000)
Pu (0.000, 0.000, 0.266)
Os (0.000, 0.000, 0.634)

Computed properties:
Theoretical density   14.00 Mg/m³
Total DFT energy (no corrections)   -10.1041 eV per atom


HoPuOsRh after structural relaxation. Source: Alexandria via LeMat-Bulk, functional PBE.

Lattice parameters (Å, degrees): 6.804 6.804 6.804 90.00 90.00 90.00
Space group F-43m (No. 216)
Asymmetric unit:
Ho (0.000, 0.000, 0.000)
Pu (0.000, 0.000, 0.500)
Os (0.250, 0.250, 0.250)
Rh (0.250, 0.250, 0.750)

Computed properties:
Theoretical density   14.81 Mg/m³
Total DFT energy (no corrections)   -9.7140 eV per atom


HoPuOsRu after structural relaxation. Source: Alexandria via LeMat-Bulk, functional PBE.

Lattice parameters (Å, degrees): 6.763 6.763 6.763 90.00 90.00 90.00
Space group F-43m (No. 216)
Asymmetric unit:
Ho (0.000, 0.000, 0.000)
Pu (0.000, 0.000, 0.500)
Os (0.250, 0.250, 0.250)
Ru (0.250, 0.250, 0.750)

Computed properties:
Theoretical density   15.04 Mg/m³
Total DFT energy (no corrections)   -10.0267 eV per atom


HoPuTcOs after structural relaxation. Source: Alexandria via LeMat-Bulk, functional PBE.

Lattice parameters (Å, degrees): 6.759 6.759 6.759 90.00 90.00 90.00
Space group F-43m (No. 216)
Asymmetric unit:
Ho (0.000, 0.000, 0.000)
Pu (0.000, 0.000, 0.500)
Tc (0.250, 0.250, 0.250)
Os (0.250, 0.250, 0.750)

Computed properties:
Theoretical density   14.99 Mg/m³
Total DFT energy (no corrections)   -10.1592 eV per atom


HoPuTlOs after structural relaxation. Source: Alexandria via LeMat-Bulk, functional PBE.

Lattice parameters (Å, degrees): 3.310 3.310 8.561 90.00 90.00 90.00
Space group P4mm (No. 99)
Asymmetric unit:
Ho (0.000, 0.000, 0.000)
Pu (0.000, 0.000, 0.594)
Tl (0.500, 0.500, 0.295)
Os (0.500, 0.500, 0.796)

Computed properties:
Theoretical density   14.22 Mg/m³
Total DFT energy (no corrections)   -8.3034 eV per atom


HoPuZnOs after structural relaxation. Source: Alexandria via LeMat-Bulk, functional PBE.

Lattice parameters (Å, degrees): 6.914 6.914 6.914 90.00 90.00 90.00
Space group F-43m (No. 216)
Asymmetric unit:
Ho (0.000, 0.000, 0.000)
Pu (0.000, 0.000, 0.500)
Zn (0.250, 0.250, 0.250)
Os (0.250, 0.250, 0.750)

Computed properties:
Theoretical density   13.36 Mg/m³
Total DFT energy (no corrections)   -7.9799 eV per atom